DFT (PBE-GGA) results for a relaxed NpSc2Ag3Te6 crystal.

a = 7.488 Å, b = 7.488 Å, c = 7.346 Å
α = 99.66°, β = 99.66°, γ = 120.12°
Atoms (fractional coordinates):
1 Np 0.000 0.000 0.000
2 Sc 0.332 0.668 0.000
3 Sc 0.668 0.332 0.000
4 Ag 0.157 0.843 0.500
5 Ag 0.500 0.500 0.500
6 Ag 0.843 0.157 0.500
7 Te 0.081 0.431 0.247
8 Te 0.269 0.269 0.754
9 Te 0.431 0.081 0.247
10 Te 0.569 0.919 0.753
11 Te 0.731 0.731 0.246
12 Te 0.919 0.569 0.753

- Raw formation energy: -0.585 eV/atom
- SG: No. 12